Record 1
Below is KTcSn2 after structural relaxation, with properties calculated at the PBE-GGA level.

Geometry as POSCAR:
```
KTcSn2
1.0
0.000 3.557 3.557
3.557 0.000 3.557
3.557 3.557 0.000
K Tc Sn
1 1 2
Direct
0.000 0.000 0.000 K
0.500 0.500 0.500 Tc
0.250 0.250 0.250 Sn
0.750 0.750 0.750 Sn
```

## Properties
Calculated total energy = -17.31 eV per cell
Formation enthalpy at 0 K = 0.541 eV/atom
Size of the total moment = 1.372 μB per formula unit
V = 90 Å³/cell



Record 2
Below is Al2TeSe after structural relaxation, with properties calculated at the PBE-GGA level.

Geometry as POSCAR:
```
Al2TeSe
1.0
3.328 0.000 0.000
0.000 4.868 0.000
0.000 0.000 5.457
Al Te Se
2 1 1
Direct
0.000 0.000 0.000 Al
0.500 0.500 0.000 Al
0.000 0.500 0.500 Te
0.500 0.000 0.500 Se
```

## Properties
Calculated total energy = -13.29 eV per cell
Size of the total moment = 0.000 μB per formula unit
V = 88 Å³/cell
Formation energy without anion corrections = 0.204 eV/atom



Record 3
Below is Er12ScTl3 after structural relaxation, with properties calculated at the PBE-GGA level.

Geometry as POSCAR:
```
Er12ScTl3
1.0
4.808 0.000 0.000
0.000 4.808 0.000
0.000 0.000 19.520
Er Sc Tl
12 1 3
Direct
0.000 0.000 0.000 Er
0.000 0.000 0.248 Er
0.000 0.000 0.500 Er
0.000 0.000 0.752 Er
0.000 0.500 0.124 Er
0.000 0.500 0.374 Er
0.000 0.500 0.626 Er
0.000 0.500 0.876 Er
0.500 0.000 0.124 Er
0.500 0.000 0.374 Er
0.500 0.000 0.626 Er
0.500 0.000 0.876 Er
0.500 0.500 0.500 Sc
0.500 0.500 0.000 Tl
0.500 0.500 0.246 Tl
0.500 0.500 0.754 Tl
```

## Properties
Calculated total energy = -70.11 eV per cell
Formation enthalpy at 0 K = -0.120 eV/atom
Size of the total moment = 0.005 μB per formula unit
V = 451 Å³/cell



Record 4
Below is Ag3Pb2F8 after structural relaxation, with properties calculated at the PBE-GGA level.

Geometry as POSCAR:
```
Ag3Pb2F8
1.0
6.085 -4.265 0.000
6.085 4.265 0.000
-0.637 0.000 4.132
Ag Pb F
3 2 8
Direct
0.000 0.000 0.000 Ag
0.269 0.731 0.500 Ag
0.731 0.269 0.500 Ag
0.268 0.268 0.973 Pb
0.732 0.732 0.027 Pb
0.124 0.124 0.452 F
0.130 0.621 0.050 F
0.377 0.377 0.540 F
0.379 0.870 0.950 F
0.621 0.130 0.050 F
0.623 0.623 0.460 F
0.870 0.379 0.950 F
0.876 0.876 0.548 F
```

## Properties
Calculated total energy = -52.12 eV per cell
Size of the total moment = 1.001 μB per formula unit
V = 214 Å³/cell
Formation energy without anion corrections = -1.629 eV/atom